Record 1
DFT (PBE-GGA) results for an optimized crystal structure of CsPdSe2O8.

Output
- uncorrected energy (eV/cell) = -61.39
- total moment (μB per formula unit) = 1.01
- energy relative to the elements, uncorrected (eV/atom) = -0.73

abc: 5.0985 5.0985 9.8326
angles: 74.97 74.97 60.00
Last column: nearest neighbours and their distance in Å.
Atoms (fractional coordinates):
O1 0.2755 0.9765 0.1353  1 Se 1.70
O2 0.3873 0.7245 0.8647  1 Se 1.70
O3 0.7245 0.0235 0.8647  1 Se 1.70
O4 0.7889 0.7889 0.6332  1 Se 1.65
O5 0.6127 0.2755 0.1353  1 Se 1.70
Cs1 0.5000 0.5000 0.5000  6 O 3.20
O6 0.2111 0.2111 0.3668  1 Se 1.65
Se1 0.2699 0.2699 0.1904  4 O 1.65-1.70
O7 0.0235 0.3873 0.8647  1 Se 1.70
Pd1 0.0000 0.0000 0.0000  6 O 2.12
O8 0.9765 0.6127 0.1353  1 Se 1.70
Se2 0.7301 0.7301 0.8096  4 O 1.65-1.70


Record 2
DFT (PBE-GGA) results for an optimized crystal structure of CaY2Ir.

Output
- uncorrected energy (eV/cell) = -25.31
- total moment (μB per formula unit) = 0.00
- ΔE_f (eV per atom) = -0.380
- relative energy among the computed polymorphs (meV/atom) = 23

abc: 4.0595 4.0595 9.7005
angles: 78.20 78.20 59.81
Last column: nearest neighbours and their distance in Å.
Atoms (fractional coordinates):
Y1 0.9676 0.9676 0.0946  3 Ir 2.76
Ir1 0.2500 0.2500 0.2500  6 Y 2.76
Ca1 0.7500 0.7500 0.7500  6 Y 3.99-4.01, 6 Ca 4.05-4.06
Y2 0.5324 0.5324 0.4054  3 Ir 2.76


Record 3
DFT (PBE-GGA) results for an optimized crystal structure of Rb2NaTeSe.

Output
- uncorrected energy (eV/cell) = -11.98
- total moment (μB per formula unit) = 0.54
- relative energy among the computed polymorphs (meV/atom) = 294
- energy relative to the elements, uncorrected (eV/atom) = -0.42

abc: 6.4435 5.8547 6.4435
angles: 90.00 90.00 90.00
Last column: nearest neighbours and their distance in Å.
Atoms (fractional coordinates):
Rb1 0.5000 0.0000 0.0000  2 Se 3.22
Rb2 0.0000 0.0000 0.5000  2 Se 3.22
Se1 0.0000 0.0000 0.0000  2 Te 2.93, 4 Rb 3.22
Na1 0.5000 0.5000 0.5000  8 Rb 4.35, 4 Te 4.56
Te1 0.0000 0.5000 0.0000  2 Se 2.93


Record 4
DFT (PBE-GGA) results for an optimized crystal structure of Ca5PrPb6.

Output
- uncorrected energy (eV/cell) = -43.29
- total moment (μB per formula unit) = 0.00
- ΔE_f (eV per atom) = -0.521

abc: 5.1173 9.1637 9.3535
angles: 60.67 74.22 90.00
Last column: nearest neighbours and their distance in Å.
Atoms (fractional coordinates):
Pb1 0.8341 0.0835 0.3324  7 Ca 3.41-3.46, 1 Pr 3.44, 4 Pb 3.63-3.65
Ca1 0.3288 0.8289 0.3423  8 Pb 3.41-3.50, 2 Ca 3.58-3.59, 2 Pr 3.68-3.69
Pb2 0.1659 0.9165 0.6676  7 Ca 3.41-3.46, 1 Pr 3.44, 4 Pb 3.63-3.65
Ca2 0.0000 0.5000 0.0000  8 Pb 3.44-3.45, 4 Ca 3.63-3.64
Pb3 0.5000 0.2495 0.0000  2 Pr 3.43, 6 Ca 3.44-3.50, 4 Pb 3.63
Pb4 0.5000 0.7505 0.0000  2 Pr 3.43, 6 Ca 3.44-3.50, 4 Pb 3.63
Ca3 0.3334 0.3333 0.3334  8 Pb 3.44-3.46, 4 Ca 3.58-3.64
Ca4 0.6712 0.1711 0.6577  8 Pb 3.41-3.50, 2 Ca 3.58-3.59, 2 Pr 3.68-3.69
Pb5 0.8341 0.5841 0.3324  7 Ca 3.41-3.46, 1 Pr 3.45, 4 Pb 3.63-3.65
Pb6 0.1659 0.4159 0.6676  7 Ca 3.41-3.46, 1 Pr 3.45, 4 Pb 3.63-3.65
Pr1 0.0000 0.0000 0.0000  8 Pb 3.43-3.45, 4 Ca 3.68-3.69
Ca5 0.6666 0.6667 0.6666  8 Pb 3.44-3.46, 4 Ca 3.58-3.64


Record 5
DFT (PBE-GGA) results for an optimized crystal structure of Ac2TbPt9.

Output
- uncorrected energy (eV/cell) = -77.67
- total moment (μB per formula unit) = 0.00
- ΔE_f (eV per atom) = -0.872

abc: 5.5076 5.5076 9.6573
angles: 73.43 73.43 60.00
Last column: nearest neighbours and their distance in Å.
Atoms (fractional coordinates):
Pt1 0.9204 0.4167 0.2461  7 Pt 2.73-2.82
Pt2 0.0796 0.5833 0.7539  7 Pt 2.73-2.82
Pt3 0.5000 0.5000 0.5000  6 Pt 2.82
Ac1 0.1381 0.1381 0.5857  12 Pt 3.15-3.48
Tb1 0.0000 0.0000 0.0000  18 Pt 3.18-3.55
Pt4 0.5833 0.5833 0.7539  7 Pt 2.73-2.82
Pt5 0.4167 0.9204 0.2461  7 Pt 2.73-2.82
Pt6 0.4167 0.4167 0.2461  7 Pt 2.73-2.82
Ac2 0.8619 0.8619 0.4143  12 Pt 3.15-3.48
Pt7 0.3328 0.3328 0.0016  6 Pt 2.73-2.77
Pt8 0.6672 0.6672 0.9984  6 Pt 2.73-2.77
Pt9 0.5833 0.0796 0.7539  7 Pt 2.73-2.82


Record 6
DFT (PBE-GGA) results for an optimized crystal structure of Sc8ZnPd2.

Output
- uncorrected energy (eV/cell) = -65.52
- total moment (μB per formula unit) = 0.00
- ΔE_f (eV per atom) = -0.291

abc: 4.8060 7.7912 7.7112
angles: 120.34 108.16 90.00
Last column: nearest neighbours and their distance in Å.
Atoms (fractional coordinates):
Sc1 0.9999 0.3334 0.9997  1 Sc 2.59, 2 Pd 2.88
Sc2 0.0001 0.6666 0.0003  1 Sc 2.59, 2 Pd 2.88
Sc3 0.8719 0.8717 0.7437  2 Zn 2.88, 5 Sc 3.05-3.18, 2 Pd 3.16
Pd1 0.2071 0.7068 0.4141  8 Sc 2.77-2.99
Sc4 0.6589 0.4441 0.3178  3 Pd 2.77-2.99, 1 Zn 2.97
Sc5 0.6590 0.8741 0.3180  3 Pd 2.77-2.99, 1 Zn 2.97
Pd2 0.7929 0.2932 0.5859  8 Sc 2.77-2.99
Zn1 0.5000 0.0000 0.0000  8 Sc 2.88-2.97
Sc6 0.3411 0.5559 0.6822  3 Pd 2.77-2.99, 1 Zn 2.97
Sc7 0.1281 0.1283 0.2563  2 Zn 2.88, 5 Sc 3.05-3.18, 2 Pd 3.16
Sc8 0.3410 0.1259 0.6820  3 Pd 2.77-2.99, 1 Zn 2.97